HoTm2Th3 | PBE | optimized geometry

V = 31.80 A^3/atom
Uncorrected energy = -138.7 eV per cell
Excess energy over the best structure of this formula in the dataset = 0.055 eV per atom
Energy of formation = 0.184 eV/atom
Crystal system = orthorhombic
Size of the total moment = 0.00 μB per cell

Cell lengths 10.165, 11.234, 6.683 Å; angles 90.00, 90.00, 90.00 degrees
Space group Cmcm (No. 63)
Asymmetric unit:
Ho (0.000, 0.230, 0.250) (multiplicity 4)
Tm (0.166, 0.270, 0.750) (multiplicity 8)
Th (0.000, 0.500, 0.000) (multiplicity 4)
Th (0.167, 0.000, 0.000) (multiplicity 8)



Nd2ScP3Rh12 | PBE | optimized geometry

V = 16.60 A^3/atom
Uncorrected energy = -379.7 eV per cell
Energy of formation = -0.347 eV/atom
Crystal system = trigonal
Size of the total moment = 0.00 μB per cell

Cell lengths 8.9386, 8.9386, 12.9523 Å; angles 90.00, 90.00, 120.00 degrees
Space group R-3m (No. 166, hexagonal axes)
Asymmetric unit:
Nd (0.0000, 0.0000, 0.1255) (multiplicity 6)
Sc (0.0000, 0.0000, 0.5000) (multiplicity 3)
P (0.0000, 0.5000, 0.0000) (multiplicity 9)
Rh (0.0023, 0.5011, 0.8271) (multiplicity 18)
Rh (0.0319, 0.5160, 0.3801) (multiplicity 18)